Record 1
A geometry-optimized Tc2SbTe structure. Source: Alexandria via LeMat-Bulk, functional PBE. Values from VASP.

Summary:
relative energy among the computed polymorphs	143	meV per atom
uncorrected formation energy	254	meV per atom

Geometry as Quantum ESPRESSO input:
```
&SYSTEM
  ibrav = 0, nat = 4, ntyp = 3
/
ATOMIC_SPECIES
Sb 121.76 Sb.upf
Tc 98.00 Tc.upf
Te 127.60 Te.upf
CELL_PARAMETERS angstrom
3.1177 0.0000 0.0000
0.0000 4.1927 0.0000
0.0000 0.0000 5.7431
ATOMIC_POSITIONS crystal
Sb 0.5000 0.5000 0.8087
Tc 0.0000 0.0000 0.9793
Tc 0.5000 0.5000 0.2797
Te 0.0000 0.0000 0.4323
```

Record 2
A geometry-optimized Nd2GeAs structure. Source: Alexandria via LeMat-Bulk, functional PBE. Values from VASP.

Summary:
relative energy among the computed polymorphs	93	meV per atom
formation energy	-1.079	eV per atom

Geometry as Quantum ESPRESSO input:
```
&SYSTEM
  ibrav = 0, nat = 4, ntyp = 3
/
ATOMIC_SPECIES
Nd 144.24 Nd.upf
Ge 72.64 Ge.upf
As 74.92 As.upf
CELL_PARAMETERS angstrom
-3.2715 0.7474 -2.5278
-3.9142 -0.2113 1.5118
-2.1121 7.2307 1.3800
ATOMIC_POSITIONS crystal
Nd 0.7529 0.7529 0.7414
Ge 0.0000 0.0000 0.0000
As 0.5000 0.5000 0.5000
Nd 0.2471 0.2471 0.2586
```

Record 3
A geometry-optimized Cs3RbBa3I8 structure. Source: Alexandria via LeMat-Bulk, functional PBE. Values from VASP.

Summary:
uncorrected formation energy	-1472	meV per atom

Geometry as Quantum ESPRESSO input:
```
&SYSTEM
  ibrav = 0, nat = 15, ntyp = 4
/
ATOMIC_SPECIES
Ba 137.33 Ba.upf
Cs 132.91 Cs.upf
I 126.90 I.upf
Rb 85.47 Rb.upf
CELL_PARAMETERS angstrom
-3.8692 0.5750 -9.3856
-5.7178 -3.4797 7.6520
2.2343 10.5818 -0.2722
ATOMIC_POSITIONS crystal
Ba 0.5000 0.0000 0.5000
Cs 0.0000 0.0000 0.0000
I 0.7530 0.0235 0.2765
Cs 0.0000 0.5000 0.0000
Rb 0.0000 0.0000 0.5000
I 0.2470 0.9765 0.7235
I 0.7529 0.5059 0.2764
Ba 0.0000 0.5000 0.5000
Ba 0.5000 0.5000 0.5000
I 0.2589 0.5179 0.2769
I 0.7411 0.4821 0.7231
I 0.7296 0.9765 0.7235
Cs 0.5000 0.5000 0.0000
I 0.2471 0.4941 0.7236
I 0.2704 0.0235 0.2765
```

Record 4
A geometry-optimized Ba2Si3Pt12Au structure. Source: Alexandria via LeMat-Bulk, functional PBE. Values from VASP.

Summary:
uncorrected formation energy	-290	meV per atom

Geometry as Quantum ESPRESSO input:
```
&SYSTEM
  ibrav = 0, nat = 18, ntyp = 4
/
ATOMIC_SPECIES
Pt 195.08 Pt.upf
Si 28.09 Si.upf
Ba 137.33 Ba.upf
Au 196.97 Au.upf
CELL_PARAMETERS angstrom
-6.3444 -3.1225 -3.7881
0.6300 -1.2459 -7.8995
0.5492 -7.5915 -2.5335
ATOMIC_POSITIONS crystal
Pt 0.3472 0.9054 0.3472
Pt 0.6528 0.6528 0.0946
Si 0.5000 0.0000 0.0000
Pt 0.3838 0.8783 0.8783
Pt 0.6528 0.0946 0.6528
Pt 0.6162 0.1217 0.1217
Pt 0.0946 0.6528 0.6528
Pt 0.3472 0.3472 0.9054
Ba 0.6131 0.6131 0.6131
Si 0.0000 0.5000 0.0000
Pt 0.8783 0.3838 0.8783
Pt 0.9054 0.3472 0.3472
Si 0.0000 0.0000 0.5000
Pt 0.8783 0.8783 0.3838
Pt 0.1217 0.6162 0.1217
Ba 0.3869 0.3869 0.3869
Pt 0.1217 0.1217 0.6162
Au 0.0000 0.0000 0.0000
```